A plane-wave DFT calculation with PBE was carried out for crystalline Ho4Er2Sc5 at its relaxed geometry.

Calculated values
Polymorph energy (0 for the lowest one) ... 88 meV per atom
Energy ... -115.1 eV for the cell shown
Energy of formation ... 13 kJ per mole of atoms

Cell lengths 22.599, 3.348, 8.335 Å; angles 90.00, 93.17, 90.00 degrees
Space group C2/m (No. 12)
Symmetry-distinct sites (fractional):
Ho 0.045 0.000 0.338 x4
Ho 0.228 0.500 0.823 x4
Er 0.088 0.500 0.696 x4
Sc 0.000 0.500 0.000 x2
Sc 0.129 0.000 0.036 x4
Sc 0.188 0.000 0.478 x4

---

A plane-wave DFT calculation with PBE was carried out for crystalline Cd2SiCl at its relaxed geometry.

Calculated values
Polymorph energy (0 for the lowest one) ... 187 meV per atom
Energy ... -17.3 eV for the cell shown
ΔE_f (raw) ... 109 meV per atom

Cell lengths 13.775, 3.025, 4.598 Å; angles 90.00, 108.69, 90.00 degrees
Space group C2/m (No. 12)
Symmetry-distinct sites (fractional):
Cd 0.193 0.000 0.197 x4
Si 0.000 0.500 0.000 x2
Cl 0.000 0.000 0.500 x2